1.
This record from Alexandria describes an optimized crystal structure of Cs2UBiTe5. The functional is PBE.

Computed properties:
The raw formation energy comes out at -0.63 eV/atom. The calculation puts the density at 5.267 Mg/m³. The calculation puts the density of states at the Fermi level at 0.68 states/eV/atom. Its space group is Cmc2_1.

a = 11.137 Å, b = 11.137 Å, c = 16.469 Å
α = 90.00°, β = 90.00°, γ = 155.35°
Sites, in units of the cell vectors:
Cs1 0.113 0.887 0.500
Cs2 0.135 0.865 0.143
Cs3 0.865 0.135 0.643
Cs4 0.887 0.113 0.000
U1 0.201 0.799 0.858
U2 0.799 0.201 0.358
Bi1 0.448 0.552 0.259
Bi2 0.552 0.448 0.759
Te1 0.064 0.936 0.886
Te2 0.292 0.708 0.472
Te3 0.312 0.688 0.235
Te4 0.329 0.671 0.826
Te5 0.499 0.501 0.601
Te6 0.501 0.499 0.101
Te7 0.671 0.329 0.326
Te8 0.688 0.312 0.735
Te9 0.708 0.292 0.972
Te10 0.936 0.064 0.386

2.
This record from Alexandria describes an optimized crystal structure of Cs3Y3BiTe8. The functional is PBE.

Computed properties:
The raw formation energy comes out at -1.13 eV/atom. The calculation puts the density at 4.957 Mg/m³. The calculation puts the density of states at the Fermi level at 0.67 states/eV/atom. Its space group is C2/m.

a = 8.949 Å, b = 8.949 Å, c = 10.543 Å
α = 115.30°, β = 115.30°, γ = 59.81°
Sites, in units of the cell vectors:
Cs1 0.000 0.000 0.000
Cs2 0.000 0.500 0.000
Cs3 0.500 0.000 0.000
Y1 0.000 0.500 0.500
Y2 0.500 0.000 0.500
Y3 0.500 0.500 0.500
Bi1 0.000 0.000 0.500
Te1 0.235 0.235 0.692
Te2 0.235 0.722 0.691
Te3 0.270 0.270 0.309
Te4 0.278 0.765 0.309
Te5 0.722 0.235 0.691
Te6 0.730 0.730 0.691
Te7 0.765 0.278 0.309
Te8 0.765 0.765 0.308

3.
This record from Alexandria describes an optimized crystal structure of Cs3Y2BiTe6. The functional is PBE.

Computed properties:
The raw formation energy comes out at -1.14 eV/atom. The calculation puts the density at 5.259 Mg/m³. The calculation puts the density of states at the Fermi level at 0.00 states/eV/atom. Its space group is C2/m.

a = 7.970 Å, b = 7.970 Å, c = 9.292 Å
α = 98.22°, β = 98.22°, γ = 120.00°
Sites, in units of the cell vectors:
Cs1 0.000 0.000 0.000
Cs2 0.335 0.665 0.000
Cs3 0.665 0.335 0.000
Y1 0.167 0.833 0.500
Y2 0.833 0.167 0.500
Bi1 0.500 0.500 0.500
Te1 0.098 0.436 0.310
Te2 0.225 0.225 0.690
Te3 0.436 0.098 0.310
Te4 0.564 0.902 0.690
Te5 0.775 0.775 0.310
Te6 0.902 0.564 0.690